Model w:
# PBE ZrIn3Sn, relaxed
# Calculated density, Mg/m³: 5.519
# Volume, Å³ per cell: 167
data_ZrIn3Sn
_space_group_name_H-M_alt 'P m -3 m'
_space_group_IT_number 221
_space_group_name_Hall '-P 4 2 3'
_cell_length_a 5.505
_cell_length_b 5.505
_cell_length_c 5.505
_cell_angle_alpha 90.00
_cell_angle_beta 90.00
_cell_angle_gamma 90.00
loop_
_atom_site_label
_atom_site_type_symbol
_atom_site_fract_x
_atom_site_fract_y
_atom_site_fract_z
Zr1 Zr 0.000 0.000 0.000
In1 In 0.000 0.500 0.500
Sn1 Sn 0.500 0.500 0.500

=====

Model x:
# PBE ZrIn3Sn, relaxed
# Calculated density, Mg/m³: 5.312
# Volume, Å³ per cell: 173
data_ZrIn3Sn
_space_group_name_H-M_alt 'P m -3 m'
_space_group_IT_number 221
_space_group_name_Hall '-P 4 2 3'
_cell_length_a 5.575
_cell_length_b 5.575
_cell_length_c 5.575
_cell_angle_alpha 90.00
_cell_angle_beta 90.00
_cell_angle_gamma 90.00
loop_
_atom_site_label
_atom_site_type_symbol
_atom_site_fract_x
_atom_site_fract_y
_atom_site_fract_z
Zr1 Zr 0.000 0.000 0.000
In1 In 0.000 0.000 0.500
Sn1 Sn 0.500 0.500 0.500

=====

Which structure is most stable? model x, by 373 meV per atom over the runner-up.

=====

Model w:
# PBE Zr4In2Sn, relaxed
# Calculated density, Mg/m³: 5.855
# Volume, Å³ per cell: 405
data_Zr4In2Sn
_space_group_name_H-M_alt 'I 4/m m m'
_space_group_IT_number 139
_space_group_name_Hall '-I 4 2'
_cell_length_a 5.144
_cell_length_b 5.144
_cell_length_c 15.289
_cell_angle_alpha 90.00
_cell_angle_beta 90.00
_cell_angle_gamma 90.00
loop_
_atom_site_label
_atom_site_type_symbol
_atom_site_fract_x
_atom_site_fract_y
_atom_site_fract_z
Zr1 Zr 0.000 0.000 0.180
Zr2 Zr 0.000 0.500 0.000
In1 In 0.000 0.000 0.373
Sn1 Sn 0.000 0.000 0.000

=====

Model x:
# PBE Zr4In2Sn, relaxed
# Calculated density, Mg/m³: 7.366
# Volume, Å³ per cell: 322
data_Zr4In2Sn
_space_group_name_H-M_alt 'P 1 21/m 1'
_space_group_IT_number 11
_cell_length_a 5.327
_cell_length_b 5.944
_cell_length_c 10.366
_cell_angle_alpha 90.00
_cell_angle_beta 101.56
_cell_angle_gamma 90.00
loop_
_space_group_symop_operation_xyz
'x,y,z'
'-x,-y,-z'
'-x,y+1/2,-z'
'x,-y+1/2,z'
loop_
_atom_site_label
_atom_site_type_symbol
_atom_site_fract_x
_atom_site_fract_y
_atom_site_fract_z
Zr1 Zr 0.129 0.250 0.133
Zr2 Zr 0.230 0.750 0.439
Zr3 Zr 0.340 0.505 0.720
In1 In 0.219 0.250 0.430
In2 In 0.430 0.750 0.997
Sn1 Sn 0.070 0.750 0.161

=====

Which structure is most stable? model x, by 801 meV per atom over the runner-up.

=====

Model w:
# PBE Zr2InSn2, relaxed
# Calculated density, Mg/m³: 7.323
# Volume, Å³ per cell: 242
data_Zr2InSn2
_space_group_name_H-M_alt 'P 4/m b m'
_space_group_IT_number 127
_space_group_name_Hall '-P 4 2ab'
_cell_length_a 7.694
_cell_length_b 7.694
_cell_length_c 4.096
_cell_angle_alpha 90.00
_cell_angle_beta 90.00
_cell_angle_gamma 90.00
loop_
_atom_site_label
_atom_site_type_symbol
_atom_site_fract_x
_atom_site_fract_y
_atom_site_fract_z
Zr1 Zr 0.146 0.354 0.000
In1 In 0.000 0.000 0.000
Sn1 Sn 0.158 0.658 0.500

=====

Model x:
# PBE Zr2InSn2, relaxed
# Calculated density, Mg/m³: 7.459
# Volume, Å³ per cell: 238
data_Zr2InSn2
_space_group_name_H-M_alt 'P 4/m b m'
_space_group_IT_number 127
_space_group_name_Hall '-P 4 2ab'
_cell_length_a 7.758
_cell_length_b 7.758
_cell_length_c 3.956
_cell_angle_alpha 90.00
_cell_angle_beta 90.00
_cell_angle_gamma 90.00
loop_
_atom_site_label
_atom_site_type_symbol
_atom_site_fract_x
_atom_site_fract_y
_atom_site_fract_z
Zr1 Zr 0.154 0.346 0.000
In1 In 0.000 0.000 0.500
Sn1 Sn 0.143 0.643 0.500

=====

Which structure is most stable? model w, by 91 meV per atom over the runner-up.

=====

Model w:
# PBE Sr4In, relaxed
# Calculated density, Mg/m³: 3.045
# Volume, Å³ per cell: 507
data_Sr4In
_space_group_name_H-M_alt 'I m -3 m'
_space_group_IT_number 229
_space_group_name_Hall '-I 4 2 3'
_cell_length_a 7.976
_cell_length_b 7.976
_cell_length_c 7.976
_cell_angle_alpha 90.00
_cell_angle_beta 90.00
_cell_angle_gamma 90.00
loop_
_atom_site_label
_atom_site_type_symbol
_atom_site_fract_x
_atom_site_fract_y
_atom_site_fract_z
Sr1 Sr 0.250 0.250 0.250
In1 In 0.000 0.000 0.000

=====

Model x:
# PBE Sr4In, relaxed
# Calculated density, Mg/m³: 2.824
# Volume, Å³ per cell: 274
data_Sr4In
_space_group_name_H-M_alt 'P m -3 m'
_space_group_IT_number 221
_space_group_name_Hall '-P 4 2 3'
_cell_length_a 6.492
_cell_length_b 6.492
_cell_length_c 6.492
_cell_angle_alpha 90.00
_cell_angle_beta 90.00
_cell_angle_gamma 90.00
loop_
_atom_site_label
_atom_site_type_symbol
_atom_site_fract_x
_atom_site_fract_y
_atom_site_fract_z
Sr1 Sr 0.000 0.000 0.000
Sr2 Sr 0.000 0.500 0.500
In1 In 0.500 0.500 0.500

=====

Model y:
# PBE Sr4In, relaxed
# Calculated density, Mg/m³: 3.328
# Volume, Å³ per cell: 2786
data_Sr4In
_space_group_name_H-M_alt 'C 1 2/c 1'
_space_group_IT_number 15
_cell_length_a 17.641
_cell_length_b 16.918
_cell_length_c 12.668
_cell_angle_alpha 90.00
_cell_angle_beta 132.53
_cell_angle_gamma 90.00
loop_
_space_group_symop_operation_xyz
'x,y,z'
'-x,-y,-z'
'-x,y,-z+1/2'
'x,-y,z+1/2'
'x+1/2,y+1/2,z'
'-x+1/2,-y+1/2,-z'
'-x+1/2,y+1/2,-z+1/2'
'x+1/2,-y+1/2,z+1/2'
loop_
_atom_site_label
_atom_site_type_symbol
_atom_site_fract_x
_atom_site_fract_y
_atom_site_fract_z
Sr1 Sr 0.000 0.117 0.250
Sr2 Sr 0.024 0.322 0.101
Sr3 Sr 0.050 0.101 0.962
Sr4 Sr 0.096 0.451 0.725
Sr5 Sr 0.222 0.223 0.819
Sr6 Sr 0.243 0.478 0.606
Sr7 Sr 0.250 0.250 0.500
In1 In 0.000 0.276 0.750
In2 In 0.196 0.079 0.606

=====

Which structure is most stable? model y, by 94 meV per atom over the runner-up.

=====

Model w:
# PBE Sr5In4, relaxed
# Calculated density, Mg/m³: 4.379
# Volume, Å³ per cell: 681
data_Sr5In4
_space_group_name_H-M_alt 'C 1 2/m 1'
_space_group_IT_number 12
_cell_length_a 12.071
_cell_length_b 5.208
_cell_length_c 11.841
_cell_angle_alpha 90.00
_cell_angle_beta 113.90
_cell_angle_gamma 90.00
loop_
_space_group_symop_operation_xyz
'x,y,z'
'-x,-y,-z'
'-x,y,-z'
'x,-y,z'
'x+1/2,y+1/2,z'
'-x+1/2,-y+1/2,-z'
'-x+1/2,y+1/2,-z'
'x+1/2,-y+1/2,z'
loop_
_atom_site_label
_atom_site_type_symbol
_atom_site_fract_x
_atom_site_fract_y
_atom_site_fract_z
Sr1 Sr 0.000 0.000 0.000
Sr2 Sr 0.104 0.000 0.398
Sr3 Sr 0.249 0.000 0.827
In1 In 0.056 0.500 0.837
In2 In 0.113 0.500 0.617

=====

Model x:
# PBE Sr5In4, relaxed
# Calculated density, Mg/m³: 4.697
# Volume, Å³ per cell: 635
data_Sr5In4
_space_group_name_H-M_alt 'I 4/m m m'
_space_group_IT_number 139
_space_group_name_Hall '-I 4 2'
_cell_length_a 10.863
_cell_length_b 10.863
_cell_length_c 5.377
_cell_angle_alpha 90.00
_cell_angle_beta 90.00
_cell_angle_gamma 90.00
loop_
_atom_site_label
_atom_site_type_symbol
_atom_site_fract_x
_atom_site_fract_y
_atom_site_fract_z
Sr1 Sr 0.000 0.000 0.000
Sr2 Sr 0.176 0.176 0.500
In1 In 0.000 0.349 0.000

=====

Which structure is most stable? model w, by 195 meV per atom over the runner-up.

=====

Model w:
# PBE SrTb2In, relaxed
# Calculated density, Mg/m³: 6.325
# Volume, Å³ per cell: 137
data_SrTb2In
_space_group_name_H-M_alt 'P 4/m m m'
_space_group_IT_number 123
_space_group_name_Hall '-P 4 2'
_cell_length_a 3.708
_cell_length_b 3.708
_cell_length_c 9.935
_cell_angle_alpha 90.00
_cell_angle_beta 90.00
_cell_angle_gamma 90.00
loop_
_atom_site_label
_atom_site_type_symbol
_atom_site_fract_x
_atom_site_fract_y
_atom_site_fract_z
Sr1 Sr 0.000 0.000 0.000
Tb1 Tb 0.500 0.500 0.304
In1 In 0.000 0.000 0.500

=====

Model x:
# PBE SrTb2In, relaxed
# Calculated density, Mg/m³: 6.097
# Volume, Å³ per cell: 425
data_SrTb2In
_space_group_name_H-M_alt 'R -3 m'
_space_group_IT_number 166
_space_group_name_Hall '-R 3 2"'
_cell_length_a 3.6952
_cell_length_b 3.6952
_cell_length_c 35.9511
_cell_angle_alpha 90.00
_cell_angle_beta 90.00
_cell_angle_gamma 120.00
loop_
_atom_site_label
_atom_site_type_symbol
_atom_site_fract_x
_atom_site_fract_y
_atom_site_fract_z
Sr1 Sr 0.0000 0.0000 0.0000
Tb1 Tb 0.0000 0.0000 0.1001
In1 In 0.0000 0.0000 0.5000

=====

Which structure is most stable? model w, by 198 meV per atom over the runner-up.

=====

Model w:
# PBE SrTbTlIn, relaxed
# Calculated density, Mg/m³: 7.725
# Volume, Å³ per cell: 122
data_SrTbTlIn
_space_group_name_H-M_alt 'P 4 m m'
_space_group_IT_number 99
_cell_length_a 3.909
_cell_length_b 3.909
_cell_length_c 7.959
_cell_angle_alpha 90.00
_cell_angle_beta 90.00
_cell_angle_gamma 90.00
loop_
_space_group_symop_operation_xyz
'x,y,z'
'-y,x,z'
'-x,-y,z'
'y,-x,z'
'-x,y,z'
'y,x,z'
'x,-y,z'
'-y,-x,z'
loop_
_atom_site_label
_atom_site_type_symbol
_atom_site_fract_x
_atom_site_fract_y
_atom_site_fract_z
Sr1 Sr 0.000 0.000 0.000
Tb1 Tb 0.000 0.000 0.496
Tl1 Tl 0.500 0.500 0.725
In1 In 0.500 0.500 0.273

=====

Model x:
# PBE SrTbTlIn, relaxed
# Calculated density, Mg/m³: 7.727
# Volume, Å³ per cell: 486
data_SrTbTlIn
_space_group_name_H-M_alt 'F -4 3 m'
_space_group_IT_number 216
_space_group_name_Hall 'F -4 2 3'
_cell_length_a 7.864
_cell_length_b 7.864
_cell_length_c 7.864
_cell_angle_alpha 90.00
_cell_angle_beta 90.00
_cell_angle_gamma 90.00
loop_
_atom_site_label
_atom_site_type_symbol
_atom_site_fract_x
_atom_site_fract_y
_atom_site_fract_z
Sr1 Sr 0.000 0.000 0.000
Tb1 Tb 0.000 0.000 0.500
Tl1 Tl 0.250 0.250 0.250
In1 In 0.250 0.250 0.750

=====

Which structure is most stable? model w, by 59 meV per atom over the runner-up.

=====

Model w:
# PBE SrIn2Tc, relaxed
# Calculated density, Mg/m³: 6.590
# Volume, Å³ per cell: 314
data_SrIn2Tc
_space_group_name_H-M_alt 'R -3 m'
_space_group_IT_number 166
_space_group_name_Hall '-R 3 2"'
_cell_length_a 3.6703
_cell_length_b 3.6703
_cell_length_c 26.9080
_cell_angle_alpha 90.00
_cell_angle_beta 90.00
_cell_angle_gamma 120.00
loop_
_atom_site_label
_atom_site_type_symbol
_atom_site_fract_x
_atom_site_fract_y
_atom_site_fract_z
Sr1 Sr 0.0000 0.0000 0.0000
In1 In 0.0000 0.0000 0.2335
Tc1 Tc 0.0000 0.0000 0.5000

=====

Model x:
# PBE SrIn2Tc, relaxed
# Calculated density, Mg/m³: 6.454
# Volume, Å³ per cell: 214
data_SrIn2Tc
_space_group_name_H-M_alt 'I m m 2'
_space_group_IT_number 44
_cell_length_a 3.286
_cell_length_b 4.494
_cell_length_c 14.468
_cell_angle_alpha 90.00
_cell_angle_beta 90.00
_cell_angle_gamma 90.00
loop_
_space_group_symop_operation_xyz
'x,y,z'
'-x,-y,z'
'-x,y,z'
'x,-y,z'
'x+1/2,y+1/2,z+1/2'
'-x+1/2,-y+1/2,z+1/2'
'-x+1/2,y+1/2,z+1/2'
'x+1/2,-y+1/2,z+1/2'
loop_
_atom_site_label
_atom_site_type_symbol
_atom_site_fract_x
_atom_site_fract_y
_atom_site_fract_z
Sr1 Sr 0.000 0.000 0.000
In1 In 0.000 0.000 0.347
In2 In 0.000 0.500 0.185
Tc1 Tc 0.000 0.500 0.692

=====

Model y:
# PBE SrIn2Tc, relaxed
# Calculated density, Mg/m³: 7.123
# Volume, Å³ per cell: 194
data_SrIn2Tc
_space_group_name_H-M_alt 'I -4 m 2'
_space_group_IT_number 119
_space_group_name_Hall 'I -4 -2'
_cell_length_a 4.515
_cell_length_b 4.515
_cell_length_c 9.496
_cell_angle_alpha 90.00
_cell_angle_beta 90.00
_cell_angle_gamma 90.00
loop_
_atom_site_label
_atom_site_type_symbol
_atom_site_fract_x
_atom_site_fract_y
_atom_site_fract_z
Sr1 Sr 0.000 0.000 0.000
In1 In 0.000 0.000 0.500
In2 In 0.000 0.500 0.750
Tc1 Tc 0.000 0.500 0.250

=====

Model z:
# PBE SrIn2Tc, relaxed
# Calculated density, Mg/m³: 7.113
# Volume, Å³ per cell: 194
data_SrIn2Tc
_space_group_name_H-M_alt 'I m m m'
_space_group_IT_number 71
_space_group_name_Hall '-I 2 2'
_cell_length_a 3.884
_cell_length_b 5.238
_cell_length_c 9.531
_cell_angle_alpha 90.00
_cell_angle_beta 90.00
_cell_angle_gamma 90.00
loop_
_atom_site_label
_atom_site_type_symbol
_atom_site_fract_x
_atom_site_fract_y
_atom_site_fract_z
Sr1 Sr 0.000 0.000 0.000
In1 In 0.000 0.500 0.216
Tc1 Tc 0.000 0.000 0.500

=====

Which structure is most stable? model x, by 85 meV per atom over the runner-up.

=====

Model w:
# PBE SrIn2Tc2, relaxed
# Calculated density, Mg/m³: 7.951
# Volume, Å³ per cell: 214
data_SrIn2Tc2
_space_group_name_H-M_alt 'P 4/m b m'
_space_group_IT_number 127
_space_group_name_Hall '-P 4 2ab'
_cell_length_a 8.316
_cell_length_b 8.316
_cell_length_c 3.100
_cell_angle_alpha 90.00
_cell_angle_beta 90.00
_cell_angle_gamma 90.00
loop_
_atom_site_label
_atom_site_type_symbol
_atom_site_fract_x
_atom_site_fract_y
_atom_site_fract_z
Sr1 Sr 0.000 0.000 0.000
In1 In 0.184 0.316 0.500
Tc1 Tc 0.100 0.600 0.000

=====

Model x:
# PBE SrIn2Tc2, relaxed
# Calculated density, Mg/m³: 7.158
# Volume, Å³ per cell: 238
data_SrIn2Tc2
_space_group_name_H-M_alt 'I 4/m m m'
_space_group_IT_number 139
_space_group_name_Hall '-I 4 2'
_cell_length_a 4.945
_cell_length_b 4.945
_cell_length_c 9.739
_cell_angle_alpha 90.00
_cell_angle_beta 90.00
_cell_angle_gamma 90.00
loop_
_atom_site_label
_atom_site_type_symbol
_atom_site_fract_x
_atom_site_fract_y
_atom_site_fract_z
Sr1 Sr 0.000 0.000 0.000
In1 In 0.000 0.500 0.250
Tc1 Tc 0.000 0.000 0.388

=====

Which structure is most stable? model x, by 59 meV per atom over the runner-up.

=====

Model w:
# PBE SrInTc3, relaxed
# Calculated density, Mg/m³: 6.215
# Volume, Å³ per cell: 133
data_SrInTc3
_space_group_name_H-M_alt 'P m -3 m'
_space_group_IT_number 221
_space_group_name_Hall '-P 4 2 3'
_cell_length_a 5.100
_cell_length_b 5.100
_cell_length_c 5.100
_cell_angle_alpha 90.00
_cell_angle_beta 90.00
_cell_angle_gamma 90.00
loop_
_atom_site_label
_atom_site_type_symbol
_atom_site_fract_x
_atom_site_fract_y
_atom_site_fract_z
Sr1 Sr 0.000 0.000 0.000
In1 In 0.500 0.500 0.500
Tc1 Tc 0.000 0.500 0.500

=====

Model x:
# PBE SrInTc3, relaxed
# Calculated density, Mg/m³: 7.231
# Volume, Å³ per cell: 114
data_SrInTc3
_space_group_name_H-M_alt 'P m -3 m'
_space_group_IT_number 221
_space_group_name_Hall '-P 4 2 3'
_cell_length_a 4.849
_cell_length_b 4.849
_cell_length_c 4.849
_cell_angle_alpha 90.00
_cell_angle_beta 90.00
_cell_angle_gamma 90.00
loop_
_atom_site_label
_atom_site_type_symbol
_atom_site_fract_x
_atom_site_fract_y
_atom_site_fract_z
Sr1 Sr 0.000 0.000 0.000
In1 In 0.500 0.500 0.500
Tc1 Tc 0.000 0.000 0.500

=====

Which structure is most stable? model w, by 896 meV per atom over the runner-up.

=====

Model w:
# PBE Sr2InTe2, relaxed
# Calculated density, Mg/m³: 5.153
# Volume, Å³ per cell: 351
data_Sr2InTe2
_space_group_name_H-M_alt 'P 4/m b m'
_space_group_IT_number 127
_space_group_name_Hall '-P 4 2ab'
_cell_length_a 9.078
_cell_length_b 9.078
_cell_length_c 4.264
_cell_angle_alpha 90.00
_cell_angle_beta 90.00
_cell_angle_gamma 90.00
loop_
_atom_site_label
_atom_site_type_symbol
_atom_site_fract_x
_atom_site_fract_y
_atom_site_fract_z
Sr1 Sr 0.146 0.354 0.000
In1 In 0.000 0.000 0.000
Te1 Te 0.159 0.659 0.500

=====

Model x:
# PBE Sr2InTe2, relaxed
# Calculated density, Mg/m³: 5.164
# Volume, Å³ per cell: 351
data_Sr2InTe2
_space_group_name_H-M_alt 'P 4/m b m'
_space_group_IT_number 127
_space_group_name_Hall '-P 4 2ab'
_cell_length_a 9.000
_cell_length_b 9.000
_cell_length_c 4.330
_cell_angle_alpha 90.00
_cell_angle_beta 90.00
_cell_angle_gamma 90.00
loop_
_atom_site_label
_atom_site_type_symbol
_atom_site_fract_x
_atom_site_fract_y
_atom_site_fract_z
Sr1 Sr 0.155 0.345 0.000
In1 In 0.000 0.000 0.500
Te1 Te 0.150 0.650 0.500

=====

Which structure is most stable? model x, by 150 meV per atom over the runner-up.